1.
# PBE-GGA AcLaAlSi, relaxed
# - Formation energy without anion corrections: -0.5363 eV per atom
# - Mass density: 6.1 g/cm3
data_AcLaAlSi
_chemical_formula_sum 'Ac2 La2 Al2 Si2'
_space_group_name_H-M_alt 'A m m 2'
_space_group_IT_number 38
_cell_length_a 4.187
_cell_length_b 4.661
_cell_length_c 11.827
_cell_angle_alpha 90.00
_cell_angle_beta 90.00
_cell_angle_gamma 90.00
loop_
_space_group_symop_operation_xyz
'x,y,z'
'-x,-y,z'
'-x,y,z'
'x,-y,z'
'x,y+1/2,z+1/2'
'-x,-y+1/2,z+1/2'
'-x,y+1/2,z+1/2'
'x,-y+1/2,z+1/2'
loop_
_atom_site_label
_atom_site_type_symbol
_atom_site_fract_x
_atom_site_fract_y
_atom_site_fract_z
Ac1 Ac 0.000 0.000 0.000
La1 La 0.500 0.000 0.715
Al1 Al 0.000 0.000 0.290
Si1 Si 0.500 0.000 0.420

2.
# PBE-GGA AcLaAlSi, relaxed
# - Formation energy without anion corrections: -0.2974 eV per atom
# - Mass density: 6.2 g/cm3
data_AcLaAlSi
_chemical_formula_sum 'Ac4 La4 Al4 Si4'
_space_group_name_H-M_alt 'F -4 3 m'
_space_group_IT_number 216
_space_group_name_Hall 'F -4 2 3'
_cell_length_a 7.655
_cell_length_b 7.655
_cell_length_c 7.655
_cell_angle_alpha 90.00
_cell_angle_beta 90.00
_cell_angle_gamma 90.00
loop_
_atom_site_label
_atom_site_type_symbol
_atom_site_fract_x
_atom_site_fract_y
_atom_site_fract_z
Ac1 Ac 0.000 0.000 0.000
La1 La 0.000 0.000 0.500
Al1 Al 0.250 0.250 0.250
Si1 Si 0.250 0.250 0.750

3.
# PBE-GGA AcLaTbAl, relaxed
# - Mass density: 7.3 g/cm3
# - Energy of formation from the pure elements: 0.043 eV per atom
data_AcLaTbAl
_chemical_formula_sum 'Ac4 La4 Tb4 Al4'
_space_group_name_H-M_alt 'F -4 3 m'
_space_group_IT_number 216
_space_group_name_Hall 'F -4 2 3'
_cell_length_a 7.947
_cell_length_b 7.947
_cell_length_c 7.947
_cell_angle_alpha 90.00
_cell_angle_beta 90.00
_cell_angle_gamma 90.00
loop_
_atom_site_label
_atom_site_type_symbol
_atom_site_fract_x
_atom_site_fract_y
_atom_site_fract_z
Ac1 Ac 0.000 0.000 0.000
La1 La 0.250 0.250 0.250
Tb1 Tb 0.250 0.250 0.750
Al1 Al 0.000 0.000 0.500

4.
# PBE-GGA Ac3La3AlTl2, relaxed
# - Mass density: 8.1 g/cm3
# - Energy of formation from the pure elements: -0.222 eV per atom
data_Ac3La3AlTl2
_chemical_formula_sum 'Ac3 La3 Al1 Tl2'
_space_group_name_H-M_alt 'P -6 2 m'
_space_group_IT_number 189
_space_group_name_Hall 'P -6 -2'
_cell_length_a 9.4813
_cell_length_b 9.4813
_cell_length_c 4.0482
_cell_angle_alpha 90.00
_cell_angle_beta 90.00
_cell_angle_gamma 120.00
loop_
_atom_site_label
_atom_site_type_symbol
_atom_site_fract_x
_atom_site_fract_y
_atom_site_fract_z
Ac1 Ac 0.0000 0.2729 0.0000
La1 La 0.0000 0.6105 0.5000
Al1 Al 0.0000 0.0000 0.5000
Tl1 Tl 0.3333 0.6667 0.0000

5.
# PBE-GGA AcLaTmAl, relaxed
# - Mass density: 7.6 g/cm3
# - Energy of formation from the pure elements: 0.062 eV per atom
data_AcLaTmAl
_chemical_formula_sum 'Ac4 La4 Tm4 Al4'
_space_group_name_H-M_alt 'F -4 3 m'
_space_group_IT_number 216
_space_group_name_Hall 'F -4 2 3'
_cell_length_a 7.902
_cell_length_b 7.902
_cell_length_c 7.902
_cell_angle_alpha 90.00
_cell_angle_beta 90.00
_cell_angle_gamma 90.00
loop_
_atom_site_label
_atom_site_type_symbol
_atom_site_fract_x
_atom_site_fract_y
_atom_site_fract_z
Ac1 Ac 0.000 0.000 0.000
La1 La 0.250 0.250 0.250
Tm1 Tm 0.250 0.250 0.750
Al1 Al 0.000 0.000 0.500

6.
# PBE-GGA AcLa2Al2Zn2, relaxed
# - Mass density: 6.4 g/cm3
# - Energy of formation from the pure elements: -0.323 eV per atom
data_AcLa2Al2Zn2
_chemical_formula_sum 'Ac3 La6 Al6 Zn6'
_space_group_name_H-M_alt 'R -3 m'
_space_group_IT_number 166
_space_group_name_Hall '-R 3 2"'
_cell_length_a 4.5553
_cell_length_b 4.5553
_cell_length_c 30.0024
_cell_angle_alpha 90.00
_cell_angle_beta 90.00
_cell_angle_gamma 120.00
loop_
_atom_site_label
_atom_site_type_symbol
_atom_site_fract_x
_atom_site_fract_y
_atom_site_fract_z
Ac1 Ac 0.0000 0.0000 0.0000
La1 La 0.0000 0.0000 0.1387
Al1 Al 0.0000 0.0000 0.2571
Zn1 Zn 0.0000 0.0000 0.4103

7.
# PBE-GGA AcLaAl2Zn2, relaxed
# - Mass density: 6.0 g/cm3
# - Energy of formation from the pure elements: -0.378 eV per atom
data_AcLaAl2Zn2
_chemical_formula_sum 'Ac1 La1 Al2 Zn2'
_space_group_name_H-M_alt 'P -3 m 1'
_space_group_IT_number 164
_space_group_name_Hall '-P 3 2"'
_cell_length_a 4.6467
_cell_length_b 4.6467
_cell_length_c 8.1132
_cell_angle_alpha 90.00
_cell_angle_beta 90.00
_cell_angle_gamma 120.00
loop_
_atom_site_label
_atom_site_type_symbol
_atom_site_fract_x
_atom_site_fract_y
_atom_site_fract_z
Ac1 Ac 0.0000 0.0000 0.0000
La1 La 0.0000 0.0000 0.5000
Al1 Al 0.3333 0.6667 0.2768
Zn1 Zn 0.3333 0.6667 0.7167

8.
# PBE-GGA Li3Ac2Al2, relaxed
# - Mass density: 4.4 g/cm3
# - Energy of formation from the pure elements: -0.091 eV per atom
data_Li3Ac2Al2
_chemical_formula_sum 'Li6 Ac4 Al4'
_space_group_name_H-M_alt 'C m m m'
_space_group_IT_number 65
_space_group_name_Hall '-C 2 2'
_cell_length_a 4.579
_cell_length_b 22.888
_cell_length_c 3.851
_cell_angle_alpha 90.00
_cell_angle_beta 90.00
_cell_angle_gamma 90.00
loop_
_atom_site_label
_atom_site_type_symbol
_atom_site_fract_x
_atom_site_fract_y
_atom_site_fract_z
Li1 Li 0.000 0.000 0.000
Li2 Li 0.000 0.436 0.500
Ac1 Ac 0.000 0.159 0.000
Al1 Al 0.000 0.280 0.500

9.
# PBE-GGA Li4AcAl4, relaxed
# - Mass density: 3.2 g/cm3
# - Energy of formation from the pure elements: -0.081 eV per atom
data_Li4AcAl4
_chemical_formula_sum 'Li8 Ac2 Al8'
_space_group_name_H-M_alt 'I 4/m'
_space_group_IT_number 87
_space_group_name_Hall '-I 4'
_cell_length_a 9.029
_cell_length_b 9.029
_cell_length_c 4.594
_cell_angle_alpha 90.00
_cell_angle_beta 90.00
_cell_angle_gamma 90.00
loop_
_atom_site_label
_atom_site_type_symbol
_atom_site_fract_x
_atom_site_fract_y
_atom_site_fract_z
Li1 Li 0.154 0.253 0.000
Ac1 Ac 0.000 0.000 0.500
Al1 Al 0.087 0.385 0.500

10.
# PBE-GGA LiAc6Al, relaxed
# - Mass density: 7.6 g/cm3
# - Energy of formation from the pure elements: -0.046 eV per atom
data_LiAc6Al
_chemical_formula_sum 'Li2 Ac12 Al2'
_space_group_name_H-M_alt 'I 4/m m m'
_space_group_IT_number 139
_space_group_name_Hall '-I 4 2'
_cell_length_a 5.644
_cell_length_b 5.644
_cell_length_c 19.245
_cell_angle_alpha 90.00
_cell_angle_beta 90.00
_cell_angle_gamma 90.00
loop_
_atom_site_label
_atom_site_type_symbol
_atom_site_fract_x
_atom_site_fract_y
_atom_site_fract_z
Li1 Li 0.000 0.000 0.000
Ac1 Ac 0.000 0.000 0.251
Ac2 Ac 0.000 0.500 0.104
Al1 Al 0.000 0.000 0.500

11.
# PBE-GGA Li6AcAl2, relaxed
# - Mass density: 2.8 g/cm3
# - Energy of formation from the pure elements: -0.011 eV per atom
data_Li6AcAl2
_chemical_formula_sum 'Li12 Ac2 Al4'
_space_group_name_H-M_alt 'C 1 2/m 1'
_space_group_IT_number 12
_cell_length_a 13.437
_cell_length_b 6.409
_cell_length_c 4.820
_cell_angle_alpha 90.00
_cell_angle_beta 110.57
_cell_angle_gamma 90.00
loop_
_space_group_symop_operation_xyz
'x,y,z'
'-x,-y,-z'
'-x,y,-z'
'x,-y,z'
'x+1/2,y+1/2,z'
'-x+1/2,-y+1/2,-z'
'-x+1/2,y+1/2,-z'
'x+1/2,-y+1/2,z'
loop_
_atom_site_label
_atom_site_type_symbol
_atom_site_fract_x
_atom_site_fract_y
_atom_site_fract_z
Li1 Li 0.000 0.176 0.000
Li2 Li 0.207 0.236 0.207
Ac1 Ac 0.000 0.500 0.500
Al1 Al 0.108 0.000 0.607

12.
# PBE-GGA LiAc2Al9, relaxed
# - Mass density: 4.4 g/cm3
# - Energy of formation from the pure elements: -0.134 eV per atom
data_LiAc2Al9
_chemical_formula_sum 'Li3 Ac6 Al27'
_space_group_name_H-M_alt 'R -3 m'
_space_group_IT_number 166
_space_group_name_Hall '-R 3 2"'
_cell_length_a 5.8860
_cell_length_b 5.8860
_cell_length_c 26.5887
_cell_angle_alpha 90.00
_cell_angle_beta 90.00
_cell_angle_gamma 120.00
loop_
_atom_site_label
_atom_site_type_symbol
_atom_site_fract_x
_atom_site_fract_y
_atom_site_fract_z
Li1 Li 0.0000 0.0000 0.0000
Ac1 Ac 0.0000 0.0000 0.1394
Al1 Al 0.0000 0.0000 0.3354
Al2 Al 0.0000 0.0000 0.5000
Al3 Al 0.0094 0.5047 0.9198

no.,E_tot (eV per formula unit),magnetic moment (μB per atom),V (Å³/cell)
1,-20.35,0.00,230.82
2,-19.39,0.00,448.53
3,-17.24,0.00,501.97
4,-37.58,0.00,315.15
5,-17.00,0.00,493.46
6,-26.26,0.00,539.16
7,-21.34,0.00,151.71
8,-22.08,0.00,403.59
9,-27.46,0.00,374.56
10,-30.67,0.00,613.13
11,-23.17,0.00,388.60
12,-45.42,0.00,797.75